Record 1
## TlTcTe2 (SCAN)

Data for a PBEsol-optimized structure of TlTcTe2.

Cell lengths 3.3680, 5.2177, 5.2177 Å; angles 90.01, 90.00, 90.00 degrees
With the nearest neighbours (Å) after each atom.
Element x y z (fractional)
Tc 0.5000 0.5000 0.5000  8 Te 3.11, 2 Tc 3.37
Te 0.0000 0.0000 0.5000  4 Tc 3.11, 4 Tl 3.11, 2 Te 3.37
Te 0.0000 0.5000 0.0000  4 Tl 3.11, 4 Tc 3.11, 2 Te 3.37
Tl 0.5000 0.0000 0.0000  8 Te 3.11, 2 Tl 3.37

Calculated values
For the uncorrected formation energy, the calculation gives 0.663 eV/atom. The value obtained for the density is 10.10 g/cm³. The relative energy among the computed polymorphs comes out at 0.00 eV/f.u. The total magnetic moment comes out at 2.86 μB/f.u. As for the space group: No. 123.

Record 2
## Tl2TcTe (SCAN)

Data for a PBEsol-optimized structure of Tl2TcTe.

Cell lengths 3.1507, 4.3664, 7.6502 Å; angles 106.58, 101.88, 90.00 degrees
With the nearest neighbours (Å) after each atom.
Element x y z (fractional)
Te 0.0000 0.5000 0.0000  4 Tc 2.69
Tc 0.5000 0.0000 0.0000  4 Te 2.69
Tl 0.1815 0.1815 0.3631  2 Tc 3.04, 6 Tl 3.15-3.33, 2 Te 3.39
Tl 0.8185 0.8185 0.6369  2 Tc 3.04, 6 Tl 3.15-3.33, 2 Te 3.39

Calculated values
For the uncorrected formation energy, the calculation gives 0.353 eV/atom. The value obtained for the density is 10.69 g/cm³. The total magnetic moment comes out at 0.96 μB/f.u. As for the space group: No. 71.

Record 3
## TlTcTe2 (SCAN)

Data for a PBEsol-optimized structure of TlTcTe2.

Cell lengths 5.0088, 5.0088, 5.0088 Å; angles 60.00, 60.00, 60.00 degrees
With the nearest neighbours (Å) after each atom.
Element x y z (fractional)
Te 0.0000 0.0000 0.0000  4 Tl 3.07, 4 Te 3.07
Te 0.7500 0.7500 0.7500  4 Tc 3.07, 4 Te 3.07
Tc 0.5000 0.5000 0.5000  4 Te 3.07, 4 Tl 3.07
Tl 0.2500 0.2500 0.2500  4 Tc 3.07, 4 Te 3.07

Calculated values
For the uncorrected formation energy, the calculation gives 0.955 eV/atom. The value obtained for the density is 10.42 g/cm³. The relative energy among the computed polymorphs comes out at 1.17 eV/f.u. The total magnetic moment comes out at 0.00 μB/f.u. As for the space group: No. 216.

Record 4
## Tc2TeW (SCAN)

Data for a PBEsol-optimized structure of Tc2TeW.

Cell lengths 2.8807, 2.8807, 8.8149 Å; angles 90.00, 90.00, 112.86 degrees
With the nearest neighbours (Å) after each atom.
Element x y z (fractional)
Te 0.5000 0.5000 0.5000  6 Te 2.88-3.19, 4 Tc 2.89
Tc 0.0000 0.0000 0.7736  2 W 2.55
Tc 0.0000 0.0000 0.2264  2 W 2.55
W 0.5000 0.5000 0.0000  4 Tc 2.55

Calculated values
For the uncorrected formation energy, the calculation gives 0.585 eV/atom. The value obtained for the density is 12.50 g/cm³. The total magnetic moment comes out at 0.00 μB/f.u. As for the space group: No. 65.